Crystalline SmInGa at its relaxed geometry. Source: Alexandria, functional PBE-GGA.

Lattice parameters (Å, degrees): 4.7936 4.7936 4.7936 60.00 60.00 60.00
Positions (direct):
Ga (0.2500, 0.2500, 0.2500)
Sm (0.5000, 0.5000, 0.5000)
In (0.0000, 0.0000, 0.0000)

Calculated values
Energy above the lowest structure with this stoichiometry   108 meV per atom
Theoretical density   7.14 g/cm³
DFT formation energy   -38.93 kJ per mole of atoms
E   -11.69 eV for the cell shown
Magnetization   0.00 μB/cell

***

Crystalline Sm4InGa2 at its relaxed geometry. Source: Alexandria, functional PBE-GGA.

Lattice parameters (Å, degrees): 5.1733 5.1733 8.9131 73.13 73.13 60.00
Positions (direct):
Ga (0.7488, 0.7488, 0.7535)
Ga (0.2512, 0.2512, 0.2465)
Sm (0.8691, 0.8691, 0.3928)
Sm (0.1309, 0.1309, 0.6072)
Sm (0.6162, 0.6162, 0.1514)
Sm (0.3838, 0.3838, 0.8486)
In (0.0000, 0.0000, 0.0000)

Calculated values
Energy above the lowest structure with this stoichiometry   0 meV per atom
Theoretical density   7.30 g/cm³
DFT formation energy   -38.09 kJ per mole of atoms
E   -30.43 eV for the cell shown
Magnetization   0.00 μB/cell